# PBE-GGA SrYAg, relaxed
# symmetry: I4mm, No. 107
# energy above the most stable polymorph in this dataset: 0 meV/atom
# total DFT energy (no corrections): -3.7933 eV/atom
# Fermi-level density of states: 2.68 states/eV/f.u.
# formation energy from the elements: -37 kJ/mol of formula units
# volume: 32.0 Å³ per atom
data_SrYAg
_chemical_formula_sum 'Sr1 Y1 Ag1'
_symmetry_space_group_name_H-M 'P 1'
_symmetry_Int_Tables_number 1
_cell_length_a 7.2913
_cell_length_b 7.2908
_cell_length_c 3.7634
_cell_angle_alpha 75.05
_cell_angle_beta 75.04
_cell_angle_gamma 29.91
loop_
_symmetry_equiv_pos_as_xyz
'x,y,z'
loop_
_atom_site_label
_atom_site_fract_x
_atom_site_fract_y
_atom_site_fract_z
_atom_site_occupancy
Ag1 0.0167 0.0167 0.9833 1
Sr1 0.3540 0.3540 0.6460 1
Y1 0.6293 0.6293 0.3707 1